# CoTe2P (PBE, relaxed)
# energy relative to the elements, uncorrected: 0.4536 eV per atom
# D(E_F): 3.7 states/eV per cell
# DFT total energy: -4.2462 eV per atom
# symmetry: P2/m (10)
data_CoTe2P
_cell_length_a 3.7163
_cell_length_b 2.9816
_cell_length_c 7.7145
_cell_angle_alpha 83.26
_cell_angle_beta 90.00
_cell_angle_gamma 90.00
_symmetry_space_group_name_H-M 'P 1'
_symmetry_Int_Tables_number 1
loop_
_symmetry_equiv_pos_as_xyz
'x,y,z'
loop_
_atom_site_label
_atom_site_type_symbol
_atom_site_fract_x
_atom_site_fract_y
_atom_site_fract_z
Co1 Co 0.5000 0.0000 0.5000
Te1 Te 0.0000 0.8925 0.2812
Te2 Te 0.0000 0.1075 0.7188
P1 P 0.5000 0.0000 0.0000